Record 1
VASP calculation (PBE) on a geometry-optimized LaZn2As structure.

a = 5.310 Å, b = 5.310 Å, c = 5.310 Å
α = 128.18°, β = 128.18°, γ = 76.33°
Atoms (fractional coordinates):
1 Zn 0.000 0.000 0.000
2 Zn 0.250 0.750 0.500
3 As 0.500 0.500 0.000
4 La 0.750 0.250 0.500

## Properties
Magnetization, μB/f.u.: 0.00
V, Å³/cell: 90
E_form, eV/atom: -0.36
Uncorrected energy, eV/atom: -3.39
Density, Mg/m³: 6.4

***

Record 2
VASP calculation (PBE) on a geometry-optimized LaZn8As6 structure.

a = 7.622 Å, b = 7.622 Å, c = 13.453 Å
α = 90.00°, β = 90.00°, γ = 120.00°
Atoms (fractional coordinates):
1 Zn 0.364 0.364 0.135
2 Zn 0.317 0.000 0.268
3 Zn 0.364 0.000 0.635
4 Zn 0.333 0.667 0.403
5 Zn 0.636 0.000 0.135
6 Zn 0.683 0.683 0.268
7 Zn 0.636 0.636 0.635
8 Zn 0.000 0.683 0.768
9 Zn 0.317 0.317 0.768
10 Zn 0.000 0.636 0.135
11 Zn 0.667 0.333 0.403
12 Zn 0.000 0.364 0.635
13 Zn 0.683 0.000 0.768
14 Zn 0.000 0.317 0.268
15 Zn 0.667 0.333 0.903
16 Zn 0.333 0.667 0.903
17 As 0.667 0.333 0.707
18 As 0.000 0.614 0.951
19 As 0.386 0.000 0.451
20 As 0.614 0.000 0.951
21 As 0.667 0.333 0.207
22 As 0.386 0.386 0.951
23 As 0.000 0.000 0.700
24 As 0.614 0.614 0.451
25 As 0.333 0.667 0.707
26 As 0.000 0.000 0.200
27 As 0.000 0.386 0.451
28 As 0.333 0.667 0.207
29 La 0.000 0.000 0.462
30 La 0.000 0.000 0.962

## Properties
Magnetization, μB/f.u.: 0.00
V, Å³/cell: 677
E_form, eV/atom: -0.22
Uncorrected energy, eV/atom: -3.08
Density, Mg/m³: 5.5

***

Record 3
VASP calculation (PBE) on a geometry-optimized LaZn2As structure.

a = 9.852 Å, b = 9.852 Å, c = 9.852 Å
α = 18.99°, β = 18.99°, γ = 18.99°
Atoms (fractional coordinates):
1 Zn 0.991 0.991 0.991
2 Zn 0.509 0.509 0.509
3 La 0.750 0.750 0.750
4 As 0.250 0.250 0.250

## Properties
Magnetization, μB/f.u.: 0.51
V, Å³/cell: 88
E_form, eV/atom: 0.11
Uncorrected energy, eV/atom: -2.92
Density, Mg/m³: 6.5

***

Record 4
VASP calculation (PBE) on a geometry-optimized LaZn4As structure.

a = 5.517 Å, b = 5.517 Å, c = 5.517 Å
α = 60.00°, β = 60.00°, γ = 60.00°
Atoms (fractional coordinates):
1 Zn 0.376 0.871 0.376
2 Zn 0.376 0.376 0.871
3 Zn 0.376 0.376 0.376
4 Zn 0.871 0.376 0.376
5 As 0.750 0.750 0.750
6 La 0.000 0.000 0.000

## Properties
Magnetization, μB/f.u.: 0.00
V, Å³/cell: 119
E_form, eV/atom: -0.15
Uncorrected energy, eV/atom: -2.59
Density, Mg/m³: 6.7

***

Record 5
VASP calculation (PBE) on a geometry-optimized LaZn3As3 structure.

a = 4.141 Å, b = 9.987 Å, c = 9.987 Å
α = 120.00°, β = 90.00°, γ = 90.00°
Atoms (fractional coordinates):
1 Zn 0.750 0.951 0.336
2 Zn 0.750 0.664 0.616
3 Zn 0.250 0.049 0.664
4 Zn 0.250 0.336 0.384
5 Zn 0.250 0.616 0.951
6 Zn 0.750 0.384 0.049
7 As 0.750 0.687 0.108
8 As 0.750 0.892 0.579
9 As 0.250 0.579 0.687
10 As 0.250 0.108 0.421
11 As 0.750 0.421 0.313
12 As 0.250 0.313 0.892
13 La 0.250 0.667 0.333
14 La 0.750 0.333 0.667

## Properties
Magnetization, μB/f.u.: 0.00
V, Å³/cell: 358
E_form, eV/atom: -0.56
Uncorrected energy, eV/atom: -3.80
Energy relative to the lowest polymorph listed for this composition, meV per atom: 27
Density, Mg/m³: 5.2

***

Record 6
VASP calculation (PBE) on a geometry-optimized LaZn2As structure.

a = 3.665 Å, b = 3.669 Å, c = 6.440 Å
α = 90.00°, β = 90.00°, γ = 90.00°
Atoms (fractional coordinates):
1 Zn 0.000 0.000 0.448
2 Zn 0.000 0.000 0.052
3 As 0.500 0.500 0.250
4 La 0.500 0.500 0.750

## Properties
Magnetization, μB/f.u.: 0.00
V, Å³/cell: 87
E_form, eV/atom: -0.26
Uncorrected energy, eV/atom: -3.29
Density, Mg/m³: 6.6